[1]
# Dy6Ho2In (PBE-GGA, relaxed)
# Energy relative to the elements in eV per atom: -0.100
# ΔE to the lowest computed polymorph in meV per atom: 0
# Total magnetic moment in μB per cell: 0.000
data_Dy6Ho2In
_symmetry_space_group_name_H-M 'C 1 2/c 1'
_symmetry_Int_Tables_number 15
_symmetry_space_group_name_Hall '-C 2yc'
_cell_length_a 20.906
_cell_length_b 6.167
_cell_length_c 8.931
_cell_angle_alpha 90.00
_cell_angle_beta 109.27
_cell_angle_gamma 90.00
loop_
_atom_site_label
_atom_site_type_symbol
_atom_site_fract_x
_atom_site_fract_y
_atom_site_fract_z
Dy1 Dy 0.054 0.172 0.136
Dy2 Dy 0.109 0.351 0.529
Dy3 Dy 0.163 0.165 0.917
Ho1 Ho 0.223 0.331 0.305
In1 In 0.000 0.334 0.750



[2]
# Hg2BiPt2 (PBE-GGA, relaxed)
# Energy relative to the elements in eV per atom: 0.212
# ΔE to the lowest computed polymorph in meV per atom: 202
# Total magnetic moment in μB per cell: 0.000
data_Hg2BiPt2
_symmetry_space_group_name_H-M 'I 4/m m m'
_symmetry_Int_Tables_number 139
_symmetry_space_group_name_Hall '-I 4 2'
_cell_length_a 3.756
_cell_length_b 3.756
_cell_length_c 16.735
_cell_angle_alpha 90.00
_cell_angle_beta 90.00
_cell_angle_gamma 90.00
loop_
_atom_site_label
_atom_site_type_symbol
_atom_site_fract_x
_atom_site_fract_y
_atom_site_fract_z
Hg1 Hg 0.000 0.000 0.119
Bi1 Bi 0.000 0.000 0.500
Pt1 Pt 0.000 0.500 0.250



[3]
# LuHf2Co (PBE-GGA, relaxed)
# Energy relative to the elements in eV per atom: -0.045
# ΔE to the lowest computed polymorph in meV per atom: 0
# Total magnetic moment in μB per cell: 0.000
data_LuHf2Co
_symmetry_space_group_name_H-M 'P 4/m m m'
_symmetry_Int_Tables_number 123
_symmetry_space_group_name_Hall '-P 4 2'
_cell_length_a 3.229
_cell_length_b 3.229
_cell_length_c 7.787
_cell_angle_alpha 90.00
_cell_angle_beta 90.00
_cell_angle_gamma 90.00
loop_
_atom_site_label
_atom_site_type_symbol
_atom_site_fract_x
_atom_site_fract_y
_atom_site_fract_z
Lu1 Lu 0.000 0.000 0.000
Hf1 Hf 0.500 0.500 0.306
Co1 Co 0.000 0.000 0.500



[4]
# CoW4Br (PBE-GGA, relaxed)
# ΔE_f (raw) in kcal/mol of atoms: 29.0
# Total magnetic moment in μB per cell: 5.705
data_CoW4Br
_symmetry_space_group_name_H-M 'F -4 3 m'
_symmetry_Int_Tables_number 216
_symmetry_space_group_name_Hall 'F -4 2 3'
_cell_length_a 7.508
_cell_length_b 7.508
_cell_length_c 7.508
_cell_angle_alpha 90.00
_cell_angle_beta 90.00
_cell_angle_gamma 90.00
loop_
_atom_site_label
_atom_site_type_symbol
_atom_site_fract_x
_atom_site_fract_y
_atom_site_fract_z
Co1 Co 0.000 0.000 0.000
W1 W 0.125 0.125 0.625
Br1 Br 0.250 0.250 0.250



[5]
# RbMn (PBE-GGA, relaxed)
# Energy relative to the elements in eV per atom: 1.004
# ΔE to the lowest computed polymorph in meV per atom: 205
# Total magnetic moment in μB per cell: 32.980
data_RbMn
_symmetry_space_group_name_H-M 'I -4 3 m'
_symmetry_Int_Tables_number 217
_symmetry_space_group_name_Hall 'I -4 2 3'
_cell_length_a 10.585
_cell_length_b 10.585
_cell_length_c 10.585
_cell_angle_alpha 90.00
_cell_angle_beta 90.00
_cell_angle_gamma 90.00
loop_
_atom_site_label
_atom_site_type_symbol
_atom_site_fract_x
_atom_site_fract_y
_atom_site_fract_z
Rb1 Rb 0.214 0.214 0.786
Mn1 Mn 0.086 0.086 0.086



[6]
# PrMgGe2Os (PBE-GGA, relaxed)
# Energy relative to the elements in eV per atom: -0.376
# Total magnetic moment in μB per cell: 0.000
data_PrMgGe2Os
_symmetry_space_group_name_H-M 'I -4 m 2'
_symmetry_Int_Tables_number 119
_symmetry_space_group_name_Hall 'I -4 -2'
_cell_length_a 4.147
_cell_length_b 4.147
_cell_length_c 11.376
_cell_angle_alpha 90.00
_cell_angle_beta 90.00
_cell_angle_gamma 90.00
loop_
_atom_site_label
_atom_site_type_symbol
_atom_site_fract_x
_atom_site_fract_y
_atom_site_fract_z
Pr1 Pr 0.000 0.000 0.000
Mg1 Mg 0.000 0.500 0.750
Ge1 Ge 0.000 0.000 0.385
Os1 Os 0.000 0.500 0.250



[7]
# CdO2F (PBE-GGA, relaxed)
# ΔE to the lowest computed polymorph in meV per atom: 435
# ΔE_f (raw) in kcal/mol of atoms: -10.3
# Total magnetic moment in μB per cell: 1.774
data_CdO2F
_symmetry_space_group_name_H-M 'I -4 2 d'
_symmetry_Int_Tables_number 122
_symmetry_space_group_name_Hall 'I -4 2bw'
_cell_length_a 3.304
_cell_length_b 3.304
_cell_length_c 17.990
_cell_angle_alpha 90.00
_cell_angle_beta 90.00
_cell_angle_gamma 90.00
loop_
_atom_site_label
_atom_site_type_symbol
_atom_site_fract_x
_atom_site_fract_y
_atom_site_fract_z
Cd1 Cd 0.000 0.000 0.000
O1 O 0.092 0.250 0.125
F1 F 0.000 0.000 0.500



[8]
# Zr2ScRh (PBE-GGA, relaxed)
# Energy relative to the elements in eV per atom: -0.199
# Total magnetic moment in μB per cell: 0.000
data_Zr2ScRh
_symmetry_space_group_name_H-M 'R 3 m'
_symmetry_Int_Tables_number 160
_symmetry_space_group_name_Hall 'R 3 -2"'
_cell_length_a 3.2557
_cell_length_b 3.2557
_cell_length_c 27.6963
_cell_angle_alpha 90.00
_cell_angle_beta 90.00
_cell_angle_gamma 120.00
loop_
_atom_site_label
_atom_site_type_symbol
_atom_site_fract_x
_atom_site_fract_y
_atom_site_fract_z
Zr1 Zr 0.0000 0.0000 0.0000
Zr2 Zr 0.0000 0.0000 0.1864
Sc1 Sc 0.0000 0.0000 0.4264
Rh1 Rh 0.0000 0.0000 0.5939